[1]
9
Lattice="6.732 -3.886 0.000 6.732 3.886 0.000 -0.001 0.000 6.374" Properties=species:S:1:pos:R:3 comment="Ac2PrSm6 GGA-PBE relaxed" magnetic_moment_mub_per_cell=0.00 formation_energy_ev_per_fu=1.672 sg="C2/m (12)" n_ef_per_ev_cell=14.1 pbc="T T T"
Ac 2.240 0.000 1.863
Ac 11.222 0.000 4.511
Pr 6.731 0.000 3.187
Sm 5.468 2.174 1.298
Sm 4.227 0.000 5.074
Sm 7.994 2.174 5.076
Sm 5.468 -2.174 1.298
Sm 9.236 0.000 1.301
Sm 7.994 -2.174 5.076

[2]
12
Lattice="3.863 0.000 0.000 -1.931 3.345 0.000 0.000 0.000 36.789" Properties=species:S:1:pos:R:3 comment="Ac2PrSm GGA-PBE relaxed" magnetic_moment_mub_per_cell=0.00 formation_energy_ev_per_fu=0.111 sg="R-3m (166)" n_ef_per_ev_cell=16.4 pbc="T T T"
Ac 0.000 0.000 9.164
Ac 0.000 0.000 27.626
Ac 0.000 2.230 15.363
Ac 0.000 2.230 33.690
Ac 1.931 1.115 3.100
Ac 1.931 1.115 21.427
Pr 0.000 0.000 0.000
Pr 0.000 2.230 24.526
Pr 1.931 1.115 12.263
Sm 0.000 0.000 18.395
Sm 0.000 2.230 6.132
Sm 1.931 1.115 30.658

[3]
12
Lattice="6.431 0.000 0.000 -0.004 7.431 0.000 -2.142 -0.004 8.931" Properties=species:S:1:pos:R:3 comment="AcPr4Sm7 GGA-PBE relaxed" magnetic_moment_mub_per_cell=0.00 formation_energy_ev_per_fu=0.216 sg="P-1 (2)" n_ef_per_ev_cell=16.5 pbc="T T T"
Ac 0.000 0.000 0.000
Pr -0.013 3.710 5.975
Pr 1.079 5.560 2.990
Pr 3.206 1.867 5.941
Pr 4.298 3.717 2.956
Sm -0.002 3.716 0.000
Sm 0.015 7.424 5.940
Sm 1.078 1.869 2.980
Sm 3.214 1.872 0.006
Sm 1.072 5.555 8.924
Sm 3.208 5.558 5.950
Sm 4.271 0.003 2.991

[4]
20
Lattice="6.887 -7.478 0.000 6.887 7.478 0.000 0.000 0.000 7.178" Properties=species:S:1:pos:R:3 comment="AcPr6Sm3 GGA-PBE relaxed" magnetic_moment_mub_per_cell=0.00 formation_energy_ev_per_fu=1.982 sg="Cmc2_1 (36)" n_ef_per_ev_cell=31.4 pbc="T T T"
Ac 6.887 4.534 3.589
Ac 6.887 -4.534 0.000
Pr 6.887 7.419 1.660
Pr 3.681 3.148 5.574
Pr 6.887 4.389 7.134
Pr 5.284 1.652 1.359
Pr 3.681 -3.148 1.985
Pr 5.284 -1.652 4.948
Pr 8.490 1.652 1.359
Pr 10.093 3.148 5.574
Pr 8.490 -1.652 4.948
Pr 6.887 -4.389 3.545
Pr 10.093 -3.148 1.985
Pr 6.887 -7.419 5.249
Sm 2.946 0.371 3.412
Sm 2.946 -0.371 7.001
Sm 6.887 1.351 5.140
Sm 6.887 -1.351 1.551
Sm 10.828 0.371 3.412
Sm 10.828 -0.371 7.001

[5]
10
Lattice="6.246 -3.778 0.000 6.246 3.778 0.000 -3.121 0.000 8.856" Properties=species:S:1:pos:R:3 comment="Ac3PrSm GGA-PBE relaxed" magnetic_moment_mub_per_cell=0.00 formation_energy_ev_per_fu=0.828 sg="C2/m (12)" n_ef_per_ev_cell=19.6 pbc="T T T"
Ac 1.564 1.890 7.818
Ac 1.549 0.000 4.434
Ac 7.807 1.890 1.039
Ac 1.564 -1.890 7.818
Ac 7.822 0.000 4.423
Ac 7.807 -1.890 1.039
Pr 4.683 0.000 2.424
Pr 4.688 0.000 6.433
Sm -1.559 0.000 6.436
Sm 10.930 0.000 2.420

[6]
20
Lattice="11.260 0.000 0.000 0.000 12.209 0.000 0.000 0.000 6.171" Properties=species:S:1:pos:R:3 comment="Ac5Pr4Sm GGA-PBE relaxed" magnetic_moment_mub_per_cell=0.00 formation_energy_ev_per_fu=2.241 sg="Pmmn (59)" n_ef_per_ev_cell=33.5 pbc="T T T"
Ac 0.657 0.640 1.543
Ac 0.657 5.464 1.543
Ac 2.815 9.157 4.622
Ac 4.973 0.640 1.543
Ac 4.973 5.464 1.543
Ac 6.287 6.745 4.628
Ac 6.287 11.569 4.628
Ac 8.445 3.052 1.549
Ac 10.603 6.745 4.628
Ac 10.603 11.569 4.628
Pr 0.110 9.157 1.538
Pr 2.815 0.922 4.632
Pr 2.815 5.182 4.632
Pr 5.520 9.157 1.538
Pr 5.740 3.052 4.632
Pr 8.445 7.027 1.539
Pr 8.445 11.287 1.539
Pr 11.150 3.052 4.632
Sm 2.815 3.052 1.551
Sm 8.445 9.157 4.620

[7]
4
Lattice="3.867 0.000 0.000 0.000 5.299 0.000 0.000 0.000 7.729" Properties=species:S:1:pos:R:3 comment="Ac2PrSm GGA-PBE relaxed" magnetic_moment_mub_per_cell=0.00 formation_energy_ev_per_fu=0.105 sg="Pmmm (47)" n_ef_per_ev_cell=6.0 pbc="T T T"
Ac 0.000 0.000 1.920
Ac 0.000 0.000 5.809
Pr 1.933 2.649 3.865
Sm 1.933 2.649 0.000

[8]
4
Lattice="4.362 0.000 0.000 0.000 4.362 0.000 0.000 0.000 7.892" Properties=species:S:1:pos:R:3 comment="AcPr2Sm GGA-PBE relaxed" magnetic_moment_mub_per_cell=0.00 formation_energy_ev_per_fu=0.427 sg="P4/mmm (123)" n_ef_per_ev_cell=9.3 pbc="T T T"
Ac 0.000 0.000 0.000
Pr 2.181 2.181 2.177
Pr 2.181 2.181 5.715
Sm 0.000 0.000 3.946